No. 1
DFT (GGA-PBE) results for crystalline SmCN2 at its relaxed geometry.

V, Å³/atom: 17.52
Formation energy without anion corrections, eV per atom: -0.120
Uncorrected energy, eV per cell: -124.29

```
SmCN2
1.0
10.479 0.000 0.000
0.000 4.027 0.000
0.000 0.000 6.643
Sm C N
4 4 8
direct
0.101 0.250 0.172 Sm
0.399 0.750 0.672 Sm
0.601 0.250 0.328 Sm
0.899 0.750 0.828 Sm
0.088 0.750 0.569 C
0.412 0.250 0.069 C
0.588 0.750 0.931 C
0.912 0.250 0.431 C
0.088 0.750 0.002 N
0.179 0.750 0.464 N
0.321 0.250 0.964 N
0.412 0.250 0.502 N
0.588 0.750 0.498 N
0.679 0.750 0.036 N
0.821 0.250 0.536 N
0.912 0.250 0.998 N
```

=====

No. 2
DFT (GGA-PBE) results for crystalline Sm2C2N5 at its relaxed geometry.

V, Å³/atom: 14.28
Formation energy without anion corrections, eV per atom: -0.550
Uncorrected energy, eV per cell: -148.93

```
Sm2C2N5
1.0
-7.658 2.591 3.239
7.658 -2.591 3.239
7.658 2.591 -3.239
Sm C N
4 4 10
direct
0.012 0.130 0.142 Sm
0.012 0.370 0.382 Sm
0.988 0.630 0.618 Sm
0.988 0.870 0.858 Sm
0.458 0.458 0.000 C
0.458 0.958 0.500 C
0.663 0.423 0.740 C
0.682 0.923 0.260 C
0.217 0.452 0.761 N
0.217 0.956 0.265 N
0.452 0.468 0.484 N
0.549 0.838 0.056 N
0.549 0.992 0.211 N
0.691 0.456 0.239 N
0.691 0.952 0.735 N
0.781 0.338 0.789 N
0.781 0.492 0.944 N
0.984 0.968 0.516 N
```

=====

No. 3
DFT (GGA-PBE) results for crystalline Sm4CN at its relaxed geometry.

V, Å³/atom: 23.98
Formation energy without anion corrections, eV per atom: -0.565
Uncorrected energy, eV per cell: -39.82

```
Sm4CN
1.0
6.275 0.000 0.000
0.000 3.633 0.000
-2.072 0.000 6.313
Sm C N
4 1 1
direct
0.236 0.000 0.217 Sm
0.258 0.500 0.780 Sm
0.742 0.500 0.220 Sm
0.764 0.000 0.783 Sm
0.500 0.000 0.000 C
0.000 0.500 0.000 N
```

=====

No. 4
DFT (GGA-PBE) results for crystalline SmC3N6 at its relaxed geometry.

V, Å³/atom: 14.50
Formation energy without anion corrections, eV per atom: 0.112
Uncorrected energy, eV per cell: -81.22

```
SmC3N6
1.0
5.708 3.296 1.285
-5.708 3.296 1.285
0.000 -6.591 1.285
Sm C N
1 3 6
direct
0.000 0.000 0.000 Sm
0.292 0.292 0.739 C
0.292 0.739 0.292 C
0.739 0.292 0.292 C
0.165 0.165 0.793 N
0.165 0.793 0.165 N
0.411 0.411 0.672 N
0.411 0.672 0.411 N
0.672 0.411 0.411 N
0.793 0.165 0.165 N
```